1.
Compound: Nb2Ru
Source: the Alexandria database
Functional: GGA-PBE
Structure: optimized geometry

Values from the calculation:
VASP energy: -0.364 hartree per atom
density: 9.473 g/cm3
E_form: -95 meV per atom
total moment: 0.0002 μB/atom

```
data_Nb2Ru
_chemical_formula_sum 'Nb8 Ru4'
_cell_length_a 3.267
_cell_length_b 4.617
_cell_length_c 13.336
_cell_angle_alpha 90.00
_cell_angle_beta 90.00
_cell_angle_gamma 90.00
_space_group_name_H-M_alt 'F m m m'
_space_group_IT_number 69
_space_group_name_Hall '-F 2 2'
loop_
_atom_site_label
_atom_site_type_symbol
_atom_site_fract_x
_atom_site_fract_y
_atom_site_fract_z
Nb1 Nb 0.000 0.000 0.161
Ru1 Ru 0.000 0.000 0.500
```


2.
Compound: Cd3CuAu
Source: the Alexandria database
Functional: GGA-PBE
Structure: optimized geometry

Values from the calculation:
VASP energy: -0.076 hartree per atom
density: 9.565 g/cm3
energy above the lowest structure with this stoichiometry: 0.000 kcal/mol of atoms
E_form: -39 meV per atom
total moment: 0.0000 μB/atom

```
data_Cd3CuAu
_chemical_formula_sum 'Cd24 Cu8 Au8'
_cell_length_a 14.066
_cell_length_b 13.687
_cell_length_c 4.558
_cell_angle_alpha 90.00
_cell_angle_beta 108.89
_cell_angle_gamma 90.00
_space_group_name_H-M_alt 'C 1 2/c 1'
_space_group_IT_number 15
loop_
_space_group_symop_operation_xyz
'x,y,z'
'-x,-y,-z'
'-x,y,-z+1/2'
'x,-y,z+1/2'
'x+1/2,y+1/2,z'
'-x+1/2,-y+1/2,-z'
'-x+1/2,y+1/2,-z+1/2'
'x+1/2,-y+1/2,z+1/2'
loop_
_atom_site_label
_atom_site_type_symbol
_atom_site_fract_x
_atom_site_fract_y
_atom_site_fract_z
Cd1 Cd 0.112 0.096 0.364
Cd2 Cd 0.121 0.416 0.369
Cd3 Cd 0.126 0.251 0.876
Cu1 Cu 0.000 0.260 0.250
Cu2 Cu 0.000 0.406 0.750
Au1 Au 0.242 0.079 0.994
```


3.
Compound: PaCuPbSe4
Source: the Alexandria database
Functional: GGA-PBE
Structure: optimized geometry

Values from the calculation:
formation energy from raw total energies: -794 meV/atom
VASP energy: -0.193 hartree per atom
density: 7.712 g/cm3
total moment: 0.0192 μB/atom

```
data_PaCuPbSe4
_chemical_formula_sum 'Pa2 Cu2 Pb2 Se8'
_cell_length_a 6.682
_cell_length_b 6.474
_cell_length_c 8.529
_cell_angle_alpha 90.00
_cell_angle_beta 107.40
_cell_angle_gamma 90.00
_space_group_name_H-M_alt 'P 1 21/m 1'
_space_group_IT_number 11
loop_
_space_group_symop_operation_xyz
'x,y,z'
'-x,-y,-z'
'-x,y+1/2,-z'
'x,-y+1/2,z'
loop_
_atom_site_label
_atom_site_type_symbol
_atom_site_fract_x
_atom_site_fract_y
_atom_site_fract_z
Pa1 Pa 0.237 0.250 0.052
Cu1 Cu 0.237 0.750 0.841
Pb1 Pb 0.267 0.250 0.543
Se1 Se 0.025 0.514 0.220
Se2 Se 0.427 0.750 0.638
Se3 Se 0.457 0.750 0.114
```


4.
Compound: Li2RhI
Source: the Alexandria database
Functional: GGA-PBE
Structure: optimized geometry

Values from the calculation:
formation energy from raw total energies: -112 meV/atom
VASP energy: -0.121 hartree per atom
density: 5.422 g/cm3
energy above the lowest structure with this stoichiometry: 3.043 kcal/mol of atoms
total moment: 0.0000 μB/atom

```
data_Li2RhI
_chemical_formula_sum 'Li8 Rh4 I4'
_cell_length_a 7.487
_cell_length_b 7.487
_cell_length_c 5.325
_cell_angle_alpha 90.00
_cell_angle_beta 90.00
_cell_angle_gamma 90.00
_space_group_name_H-M_alt 'I -4 2 d'
_space_group_IT_number 122
_space_group_name_Hall 'I -4 2bw'
loop_
_atom_site_label
_atom_site_type_symbol
_atom_site_fract_x
_atom_site_fract_y
_atom_site_fract_z
Li1 Li 0.224 0.250 0.125
Rh1 Rh 0.000 0.000 0.000
I1 I 0.000 0.000 0.500
```


5.
Compound: POsBr2
Source: the Alexandria database
Functional: GGA-PBE
Structure: optimized geometry

Values from the calculation:
formation energy from raw total energies: 235 meV/atom
VASP energy: -0.175 hartree per atom
density: 5.040 g/cm3
energy above the lowest structure with this stoichiometry: 6.863 kcal/mol of atoms
total moment: 0.1805 μB/atom

```
data_POsBr2
_chemical_formula_sum 'P1 Os1 Br2'
_cell_length_a 5.788
_cell_length_b 3.454
_cell_length_c 6.687
_cell_angle_alpha 90.00
_cell_angle_beta 110.10
_cell_angle_gamma 90.00
_space_group_name_H-M_alt 'P 1 m 1'
_space_group_IT_number 6
loop_
_space_group_symop_operation_xyz
'x,y,z'
'x,-y,z'
loop_
_atom_site_label
_atom_site_type_symbol
_atom_site_fract_x
_atom_site_fract_y
_atom_site_fract_z
P1 P 0.000 0.000 0.000
Os1 Os 0.795 0.500 0.063
Br1 Br 0.442 0.500 0.746
Br2 Br 0.790 0.000 0.365
```


6.
Compound: ErTiC
Source: the Alexandria database
Functional: GGA-PBE
Structure: optimized geometry

Values from the calculation:
VASP energy: -0.279 hartree per atom
density: 7.160 g/cm3
energy above the lowest structure with this stoichiometry: 0.000 kcal/mol of atoms
E_form: -354 meV per atom
total moment: 0.0000 μB/atom

```
data_ErTiC
_chemical_formula_sum 'Er16 Ti16 C16'
_cell_length_a 9.446
_cell_length_b 9.446
_cell_length_c 9.446
_cell_angle_alpha 90.00
_cell_angle_beta 90.00
_cell_angle_gamma 90.00
_space_group_name_H-M_alt 'F -4 3 m'
_space_group_IT_number 216
_space_group_name_Hall 'F -4 2 3'
loop_
_atom_site_label
_atom_site_type_symbol
_atom_site_fract_x
_atom_site_fract_y
_atom_site_fract_z
Er1 Er 0.122 0.122 0.378
Ti1 Ti 0.139 0.139 0.861
C1 C 0.136 0.136 0.636
```


7.
Compound: Li2LaIn2
Source: the Alexandria database
Functional: GGA-PBE
Structure: optimized geometry

Values from the calculation:
VASP energy: -0.113 hartree per atom
density: 5.237 g/cm3
energy above the lowest structure with this stoichiometry: 3.332 kcal/mol of atoms
E_form: -215 meV per atom
total moment: 0.0441 μB/atom

```
data_Li2LaIn2
_chemical_formula_sum 'Li4 La2 In4'
_cell_length_a 8.622
_cell_length_b 8.622
_cell_length_c 3.262
_cell_angle_alpha 90.00
_cell_angle_beta 90.00
_cell_angle_gamma 90.00
_space_group_name_H-M_alt 'P 4/m b m'
_space_group_IT_number 127
_space_group_name_Hall '-P 4 2ab'
loop_
_atom_site_label
_atom_site_type_symbol
_atom_site_fract_x
_atom_site_fract_y
_atom_site_fract_z
Li1 Li 0.170 0.330 0.000
La1 La 0.000 0.000 0.500
In1 In 0.125 0.625 0.500
```


8.
Compound: SrErZnGe
Source: the Alexandria database
Functional: GGA-PBE
Structure: optimized geometry

Values from the calculation:
VASP energy: -0.125 hartree per atom
density: 6.540 g/cm3
E_form: -358 meV per atom
total moment: 0.0001 μB/atom

```
data_SrErZnGe
_chemical_formula_sum 'Sr4 Er4 Zn4 Ge4'
_cell_length_a 7.362
_cell_length_b 7.362
_cell_length_c 7.362
_cell_angle_alpha 90.00
_cell_angle_beta 90.00
_cell_angle_gamma 90.00
_space_group_name_H-M_alt 'F -4 3 m'
_space_group_IT_number 216
_space_group_name_Hall 'F -4 2 3'
loop_
_atom_site_label
_atom_site_type_symbol
_atom_site_fract_x
_atom_site_fract_y
_atom_site_fract_z
Sr1 Sr 0.000 0.000 0.000
Er1 Er 0.000 0.000 0.500
Zn1 Zn 0.250 0.250 0.750
Ge1 Ge 0.250 0.250 0.250
```


Repeat the eighth record exactly.
Compound: SrErZnGe
Source: the Alexandria database
Functional: GGA-PBE
Structure: optimized geometry

Values from the calculation:
VASP energy: -0.125 hartree per atom
density: 6.540 g/cm3
E_form: -358 meV per atom
total moment: 0.0001 μB/atom

```
data_SrErZnGe
_chemical_formula_sum 'Sr4 Er4 Zn4 Ge4'
_cell_length_a 7.362
_cell_length_b 7.362
_cell_length_c 7.362
_cell_angle_alpha 90.00
_cell_angle_beta 90.00
_cell_angle_gamma 90.00
_space_group_name_H-M_alt 'F -4 3 m'
_space_group_IT_number 216
_space_group_name_Hall 'F -4 2 3'
loop_
_atom_site_label
_atom_site_type_symbol
_atom_site_fract_x
_atom_site_fract_y
_atom_site_fract_z
Sr1 Sr 0.000 0.000 0.000
Er1 Er 0.000 0.000 0.500
Zn1 Zn 0.250 0.250 0.750
Ge1 Ge 0.250 0.250 0.250
```